Version one
DFT (GGA-PBE) results for Cu2SnBr6 after structural relaxation.

Geometry as POSCAR:
```
Cu2SnBr6
1.0
-2.649 -2.559 5.652
1.310 -10.434 -0.071
7.202 0.515 7.646
Cu Sn Br
4 2 12
Cartesian
6.200 -6.652 6.528
1.762 -3.107 4.888
-0.337 -5.826 6.699
4.101 -9.371 8.339
5.198 -2.618 7.302
0.665 -9.860 5.925
4.883 -8.595 6.214
1.348 -4.381 2.934
0.980 -3.883 7.013
4.515 -8.097 10.293
1.730 -10.112 8.264
0.787 -7.403 5.141
4.133 -2.366 4.963
5.076 -5.075 8.087
0.849 -8.040 0.394
1.938 -11.338 4.242
5.014 -4.438 12.833
3.926 -1.140 8.986
```

Output
Magnetic moment = 0.0 μB per formula unit
N(E_F) = 2.13 states/eV/f.u.
ρ = 3.61 Mg/m³
Space group = C2/c, No. 15

---

Version two
DFT (GGA-PBE) results for Cu2SnBr6 after structural relaxation.

Geometry as POSCAR:
```
Cu2SnBr6
1.0
-6.043 3.566 -0.125
-5.598 -7.010 0.551
-1.269 0.618 8.877
Cu Sn Br
4 2 12
Cartesian
-5.371 -3.075 6.996
-3.834 -0.330 3.682
-7.539 0.249 2.307
-9.075 -2.496 5.620
-3.256 0.670 7.929
-9.654 -3.497 1.374
-6.896 -3.339 5.205
-3.703 -2.521 2.795
-6.014 0.513 4.098
-9.207 -0.305 6.508
-10.620 -2.733 3.765
-7.411 -2.012 1.436
-2.289 -0.094 5.538
-5.498 -0.814 7.867
-6.351 -4.576 8.836
-2.876 1.131 1.800
-6.558 1.750 0.467
-10.034 -3.957 7.503
```

Output
Magnetic moment = 0.0 μB per formula unit
N(E_F) = 9.85 states/eV/f.u.
ρ = 4.34 Mg/m³
Space group = C2/c, No. 15

---

Verdict on stability: version two comes out at the bottom.

---

Version one
DFT (GGA-PBE) results for SrCuBr2 after structural relaxation.

Geometry as POSCAR:
```
SrCuBr2
1.0
0.000 3.760 3.760
3.760 0.000 3.760
3.760 3.760 0.000
Sr Cu Br
1 1 2
Cartesian
3.760 3.760 3.760
0.000 0.000 0.000
1.880 1.880 1.880
5.640 5.640 5.640
```

Output
Magnetic moment = 0.8 μB per formula unit
N(E_F) = 2.27 states/eV/f.u.
ρ = 4.86 Mg/m³
Space group = Fm-3m, No. 225

---

Version two
DFT (GGA-PBE) results for SrCuBr2 after structural relaxation.

Geometry as POSCAR:
```
SrCuBr2
1.0
5.606 0.094 -0.088
3.643 4.262 -0.088
0.680 0.320 5.396
Br Cu Sr
2 1 1
Cartesian
8.559 4.031 -0.077
5.655 2.663 2.511
7.447 3.507 3.915
2.482 1.169 1.305
```

Output
Magnetic moment = 0.0 μB per formula unit
N(E_F) = 1.93 states/eV/f.u.
ρ = 4.05 Mg/m³
Space group = C2/m, No. 12

---

Version three
DFT (GGA-PBE) results for SrCuBr2 after structural relaxation.

Geometry as POSCAR:
```
SrCuBr2
1.0
-0.089 5.387 -0.826
-1.786 -0.809 -5.085
-9.194 2.590 -0.104
Sr Cu Br
2 2 4
Cartesian
0.000 0.000 0.000
-5.110 5.132 -1.943
-0.938 2.289 -2.956
-5.959 2.034 -4.072
-2.574 3.693 -1.144
-3.429 1.034 -3.341
-7.671 3.626 -2.502
-8.463 5.980 -5.043
```

Output
Magnetic moment = 0.0 μB per formula unit
N(E_F) = 0.38 states/eV/f.u.
ρ = 3.98 Mg/m³
Space group = I-42d, No. 122

---

Version four
DFT (GGA-PBE) results for SrCuBr2 after structural relaxation.

Geometry as POSCAR:
```
SrCuBr2
1.0
-2.955 2.205 -3.379
-0.129 -4.231 -2.648
-3.276 -1.202 2.080
Br Cu Sr
2 1 1
Cartesian
0.000 0.000 0.000
-1.542 -1.013 -3.013
-3.115 0.501 -0.649
-1.702 -2.717 -0.284
```

Output
Magnetic moment = 0.0 μB per formula unit
N(E_F) = 1.16 states/eV/f.u.
ρ = 5.09 Mg/m³
Space group = P4/mmm, No. 123

---

Verdict on stability: version three comes out at the bottom.